Record 1
Compound: BaSr2
Source: the Alexandria database
Functional: PBE
Structure: relaxed

Lattice parameters (Å, degrees): 6.957 6.957 8.156 90.00 90.00 120.00
Sites, in units of the cell vectors:
Ba 0.333 0.667 0.250
Ba 0.667 0.333 0.750
Sr 0.000 0.000 0.000
Sr 0.000 0.000 0.500
Sr 0.333 0.667 0.750
Sr 0.667 0.333 0.250

DFT formation energy (kJ per mole of atoms): 5
Total moment (μB per cell): 0.00
Electronic total energy (eV/atom): -1.712

---

Record 2
Compound: SmHPd2
Source: the Alexandria database
Functional: PBE
Structure: relaxed

Lattice parameters (Å, degrees): 3.868 3.868 15.656 90.00 90.00 120.00
Sites, in units of the cell vectors:
Sm 0.000 0.000 0.000
Sm 0.333 0.667 0.667
Sm 0.667 0.333 0.333
H 0.000 0.000 0.500
H 0.333 0.667 0.167
H 0.667 0.333 0.833
Pd 0.000 0.000 0.214
Pd 0.000 0.000 0.786
Pd 0.333 0.667 0.452
Pd 0.333 0.667 0.881
Pd 0.667 0.333 0.119
Pd 0.667 0.333 0.548

Total moment (μB per cell): 0.00
Electronic total energy (eV/atom): -4.855

---

Record 3
Compound: Cs2MgTaSe4
Source: the Alexandria database
Functional: PBE
Structure: relaxed

Lattice parameters (Å, degrees): 15.044 13.443 8.091 84.76 62.86 32.38
Sites, in units of the cell vectors:
Cs 0.053 0.053 0.697
Cs 0.303 0.303 0.947
Cs 0.697 0.697 0.053
Cs 0.947 0.947 0.303
Mg 0.125 0.125 0.125
Mg 0.875 0.875 0.875
Ta 0.375 0.375 0.375
Ta 0.625 0.625 0.625
Se 0.009 0.346 0.433
Se 0.288 0.567 0.654
Se 0.346 0.009 0.712
Se 0.433 0.712 0.009
Se 0.567 0.288 0.991
Se 0.654 0.991 0.288
Se 0.712 0.433 0.346
Se 0.991 0.654 0.567

Total moment (μB per cell): 2.05
Electronic total energy (eV/atom): -4.668
Energy relative to the elements, uncorrected (eV per formula unit): -8.3

---

Record 4
Compound: MgGeO3
Source: the Alexandria database
Functional: PBE
Structure: relaxed

Lattice parameters (Å, degrees): 3.860 3.860 3.860 90.00 90.00 90.00
Sites, in units of the cell vectors:
Mg 0.000 0.000 0.000
Ge 0.500 0.500 0.500
O 0.000 0.000 0.500
O 0.000 0.500 0.000
O 0.500 0.000 0.000

Total moment (μB per cell): 2.00
Electronic total energy (eV/atom): -4.928
Energy relative to the elements, uncorrected (eV per formula unit): -3.6

---

Record 5
Compound: SnTe4Au3
Source: the Alexandria database
Functional: PBE
Structure: relaxed

Lattice parameters (Å, degrees): 8.605 8.159 7.458 90.00 90.00 90.00
Sites, in units of the cell vectors:
Sn 0.000 0.169 0.000
Sn 0.500 0.831 0.500
Te 0.000 0.161 0.614
Te 0.000 0.863 0.181
Te 0.246 0.369 0.124
Te 0.254 0.631 0.624
Te 0.500 0.137 0.681
Te 0.500 0.839 0.114
Te 0.746 0.631 0.624
Te 0.754 0.369 0.124
Au 0.000 0.829 0.620
Au 0.217 0.754 0.955
Au 0.283 0.246 0.455
Au 0.500 0.171 0.120
Au 0.717 0.246 0.455
Au 0.783 0.754 0.955

Total moment (μB per cell): 0.00
Electronic total energy (eV/atom): -3.373
Energy relative to the elements, uncorrected (eV per formula unit): -0.6

---

Record 6
Compound: V2Ga2Bi
Source: the Alexandria database
Functional: PBE
Structure: relaxed

Lattice parameters (Å, degrees): 7.078 7.078 3.538 90.00 90.00 90.00
Sites, in units of the cell vectors:
V 0.118 0.382 0.000
V 0.382 0.882 0.000
V 0.618 0.118 0.000
V 0.882 0.618 0.000
Ga 0.170 0.670 0.500
Ga 0.330 0.170 0.500
Ga 0.670 0.830 0.500
Ga 0.830 0.330 0.500
Bi 0.000 0.000 0.000
Bi 0.500 0.500 0.000

DFT formation energy (kJ per mole of atoms): 16
Total moment (μB per cell): 0.00
Electronic total energy (eV/atom): -5.473

---

Record 7
Compound: TaCd3Co
Source: the Alexandria database
Functional: PBE
Structure: relaxed

Lattice parameters (Å, degrees): 4.751 4.751 4.751 90.00 90.00 90.00
Sites, in units of the cell vectors:
Ta 0.000 0.000 0.000
Cd 0.000 0.500 0.500
Cd 0.500 0.000 0.500
Cd 0.500 0.500 0.000
Co 0.500 0.500 0.500

DFT formation energy (kJ per mole of atoms): 113
Total moment (μB per cell): 0.00
Electronic total energy (eV/atom): -3.165

---

Record 8
Compound: ScGaCoAu
Source: the Alexandria database
Functional: PBE
Structure: relaxed

Lattice parameters (Å, degrees): 6.352 6.352 6.352 90.00 90.00 90.00
Sites, in units of the cell vectors:
Sc 0.000 0.000 0.000
Sc 0.000 0.500 0.500
Sc 0.500 0.000 0.500
Sc 0.500 0.500 0.000
Ga 0.000 0.000 0.500
Ga 0.000 0.500 0.000
Ga 0.500 0.000 0.000
Ga 0.500 0.500 0.500
Co 0.250 0.250 0.750
Co 0.250 0.750 0.250
Co 0.750 0.250 0.250
Co 0.750 0.750 0.750
Au 0.250 0.250 0.250
Au 0.250 0.750 0.750
Au 0.750 0.250 0.750
Au 0.750 0.750 0.250

DFT formation energy (kJ per mole of atoms): -38
Total moment (μB per cell): 4.87
Electronic total energy (eV/atom): -5.325

---

Record 9
Compound: LaScIn2
Source: the Alexandria database
Functional: PBE
Structure: relaxed

Lattice parameters (Å, degrees): 8.464 8.464 6.536 90.00 90.00 90.00
Sites, in units of the cell vectors:
La 0.000 0.000 0.000
La 0.000 0.500 0.250
La 0.500 0.000 0.750
La 0.500 0.500 0.500
Sc 0.000 0.000 0.500
Sc 0.000 0.500 0.750
Sc 0.500 0.000 0.250
Sc 0.500 0.500 0.000
In 0.219 0.250 0.625
In 0.250 0.719 0.875
In 0.250 0.781 0.375
In 0.281 0.250 0.125
In 0.719 0.750 0.125
In 0.750 0.219 0.375
In 0.750 0.281 0.875
In 0.781 0.750 0.625

DFT formation energy (kJ per mole of atoms): -11
Total moment (μB per cell): 0.00
Electronic total energy (eV/atom): -4.300

---

Record 10
Compound: Sm3ZnI3
Source: the Alexandria database
Functional: PBE
Structure: relaxed

Lattice parameters (Å, degrees): 10.706 10.706 10.706 109.47 109.47 109.47
Sites, in units of the cell vectors:
Sm 0.014 0.029 0.264
Sm 0.014 0.486 0.750
Sm 0.029 0.264 0.014
Sm 0.236 0.264 0.750
Sm 0.236 0.471 0.486
Sm 0.264 0.014 0.029
Sm 0.264 0.750 0.236
Sm 0.471 0.486 0.236
Sm 0.486 0.236 0.471
Sm 0.486 0.750 0.014
Sm 0.750 0.014 0.486
Sm 0.750 0.236 0.264
Zn 0.000 0.250 0.500
Zn 0.250 0.250 0.250
Zn 0.250 0.500 0.000
Zn 0.500 0.000 0.250
I 0.250 0.759 0.741
I 0.250 0.991 0.509
I 0.509 0.250 0.991
I 0.509 0.759 0.518
I 0.518 0.509 0.759
I 0.741 0.250 0.759
I 0.741 0.991 0.982
I 0.759 0.518 0.509
I 0.759 0.741 0.250
I 0.982 0.741 0.991
I 0.991 0.509 0.250
I 0.991 0.982 0.741

Total moment (μB per cell): 0.00
Electronic total energy (eV/atom): -3.785
Energy relative to the elements, uncorrected (eV per formula unit): -6.4

---

Record 11
Compound: LaHg3Ge
Source: the Alexandria database
Functional: PBE
Structure: relaxed

Lattice parameters (Å, degrees): 5.984 5.984 5.984 90.00 90.00 90.00
Sites, in units of the cell vectors:
La 0.000 0.000 0.000
Hg 0.000 0.000 0.500
Hg 0.000 0.500 0.000
Hg 0.500 0.000 0.000
Ge 0.500 0.500 0.500

DFT formation energy (kJ per mole of atoms): 72
Total moment (μB per cell): 1.50
Electronic total energy (eV/atom): -1.347

---

Record 12
Compound: Li2AcGa4Ag
Source: the Alexandria database
Functional: PBE
Structure: relaxed

Lattice parameters (Å, degrees): 9.886 9.886 9.886 25.89 25.89 25.89
Sites, in units of the cell vectors:
Li 0.220 0.220 0.220
Li 0.780 0.780 0.780
Ac 0.000 0.000 0.000
Ga 0.116 0.116 0.116
Ga 0.406 0.406 0.406
Ga 0.594 0.594 0.594
Ga 0.884 0.884 0.884
Ag 0.500 0.500 0.500

DFT formation energy (kJ per mole of atoms): -32
Total moment (μB per cell): 0.00
Electronic total energy (eV/atom): -3.192

---

Record 13
Compound: SrLa2Ir
Source: the Alexandria database
Functional: PBE
Structure: relaxed

Lattice parameters (Å, degrees): 5.103 5.103 4.374 90.00 90.00 90.00
Sites, in units of the cell vectors:
Sr 0.000 0.000 0.000
La 0.000 0.500 0.500
La 0.500 0.000 0.500
Ir 0.500 0.500 0.000

DFT formation energy (kJ per mole of atoms): 7
Total moment (μB per cell): 0.00
Electronic total energy (eV/atom): -5.031

---

Record 14
Compound: ReTeMo2
Source: the Alexandria database
Functional: PBE
Structure: relaxed

Lattice parameters (Å, degrees): 6.080 6.080 10.979 90.00 90.00 90.00
Sites, in units of the cell vectors:
Re 0.000 0.000 0.000
Re 0.000 0.500 0.250
Re 0.500 0.000 0.750
Re 0.500 0.500 0.500
Te 0.000 0.000 0.500
Te 0.000 0.500 0.750
Te 0.500 0.000 0.250
Te 0.500 0.500 0.000
Mo 0.219 0.250 0.125
Mo 0.250 0.719 0.375
Mo 0.250 0.781 0.875
Mo 0.281 0.250 0.625
Mo 0.719 0.750 0.625
Mo 0.750 0.219 0.875
Mo 0.750 0.281 0.375
Mo 0.781 0.750 0.125

Total moment (μB per cell): 0.00
Electronic total energy (eV/atom): -8.087
Energy relative to the elements, uncorrected (eV per formula unit): 4.9

---

Record 15
Compound: LaCoBr2
Source: the Alexandria database
Functional: PBE
Structure: relaxed

Lattice parameters (Å, degrees): 4.103 4.103 23.047 90.00 90.00 120.00
Sites, in units of the cell vectors:
La 0.000 0.000 0.000
La 0.333 0.667 0.667
La 0.667 0.333 0.333
Co 0.000 0.000 0.267
Co 0.333 0.667 0.934
Co 0.667 0.333 0.601
Br 0.000 0.000 0.576
Br 0.000 0.000 0.754
Br 0.333 0.667 0.243
Br 0.333 0.667 0.421
Br 0.667 0.333 0.088
Br 0.667 0.333 0.910

Total moment (μB per cell): 0.00
Electronic total energy (eV/atom): -4.717
Energy relative to the elements, uncorrected (eV per formula unit): -3.5

---

Record 16
Compound: BiSeI2O
Source: the Alexandria database
Functional: PBE
Structure: relaxed

Lattice parameters (Å, degrees): 6.312 6.312 4.296 90.00 90.00 90.00
Sites, in units of the cell vectors:
Bi 0.000 0.000 0.000
Se 0.500 0.500 0.500
I 0.000 0.500 0.000
I 0.500 0.000 0.000
O 0.000 0.000 0.500

Total moment (μB per cell): 2.68
Electronic total energy (eV/atom): -2.958
Energy relative to the elements, uncorrected (eV per formula unit): 0.6

---

Record 17
Compound: Dy2Tc3Ge5
Source: the Alexandria database
Functional: PBE
Structure: relaxed

Lattice parameters (Å, degrees): 8.602 8.602 8.602 110.04 83.09 141.04
Sites, in units of the cell vectors:
Dy 0.139 0.239 0.378
Dy 0.361 0.739 0.100
Dy 0.639 0.261 0.900
Dy 0.861 0.761 0.622
Tc 0.151 0.918 0.069
Tc 0.250 0.750 0.500
Tc 0.349 0.418 0.767
Tc 0.651 0.582 0.233
Tc 0.750 0.250 0.500
Tc 0.849 0.082 0.931
Ge 0.046 0.750 0.296
Ge 0.088 0.686 0.774
Ge 0.250 0.250 0.000
Ge 0.412 0.186 0.599
Ge 0.454 0.750 0.704
Ge 0.546 0.250 0.296
Ge 0.588 0.814 0.401
Ge 0.750 0.750 0.000
Ge 0.912 0.314 0.226
Ge 0.954 0.250 0.704

DFT formation energy (kJ per mole of atoms): -48
Total moment (μB per cell): 0.75
Electronic total energy (eV/atom): -6.832

---

Record 18
Compound: TcNiC2I
Source: the Alexandria database
Functional: PBE
Structure: relaxed

Lattice parameters (Å, degrees): 3.710 3.710 7.147 90.00 90.00 90.00
Sites, in units of the cell vectors:
Tc 0.000 0.000 0.000
Ni 0.500 0.500 0.500
C 0.000 0.500 0.500
C 0.500 0.000 0.500
I 0.500 0.500 0.000

Total moment (μB per cell): 1.85
Electronic total energy (eV/atom): -5.077
Energy relative to the elements, uncorrected (eV per formula unit): 10.8

---

Record 19
Compound: NiSnSe2Br
Source: the Alexandria database
Functional: PBE
Structure: relaxed

Lattice parameters (Å, degrees): 5.306 5.306 5.424 90.00 90.00 90.00
Sites, in units of the cell vectors:
Ni 0.000 0.000 0.000
Sn 0.500 0.500 0.500
Se 0.000 0.500 0.500
Se 0.500 0.000 0.500
Br 0.500 0.500 0.000

Total moment (μB per cell): 1.28
Electronic total energy (eV/atom): -2.998
Energy relative to the elements, uncorrected (eV per formula unit): 3.4

---

Record 20
Compound: YCu3Sn4O12
Source: the Alexandria database
Functional: PBE
Structure: relaxed

Lattice parameters (Å, degrees): 6.748 6.748 6.748 109.47 109.47 109.47
Sites, in units of the cell vectors:
Y 0.000 0.000 0.000
Cu 0.000 0.500 0.500
Cu 0.500 0.000 0.500
Cu 0.500 0.500 0.000
Sn 0.000 0.000 0.500
Sn 0.000 0.500 0.000
Sn 0.500 0.000 0.000
Sn 0.500 0.500 0.500
O 0.130 0.832 0.297
O 0.168 0.297 0.465
O 0.168 0.703 0.870
O 0.297 0.130 0.832
O 0.297 0.465 0.168
O 0.465 0.168 0.297
O 0.535 0.832 0.703
O 0.703 0.535 0.832
O 0.703 0.870 0.168
O 0.832 0.297 0.130
O 0.832 0.703 0.535
O 0.870 0.168 0.703

Total moment (μB per cell): 2.03
Electronic total energy (eV/atom): -6.184
Energy relative to the elements, uncorrected (eV per formula unit): -29.4